Below is LiSb3P6O20 after structural relaxation, with properties calculated at the PBE level.

Lattice parameters (Å, degrees): 8.7765 8.7765 13.0335 90.00 90.00 99.27
Last column: nearest neighbours and their distance in Å.
Fractional positions:
O (0.9040, 0.8161, 0.7838)  2 P 1.62-1.64
P (0.7582, 0.8449, 0.7139)  4 O 1.49-1.62
Li (0.6601, 0.6601, 0.5000)  2 O 2.03
Sb (0.2522, 0.7478, 0.2500)  4 O 2.13-2.25
O (0.7628, 0.0181, 0.7147)  1 P 1.51
Sb (0.0597, 0.0597, 0.0000)  4 O 2.06-2.19
O (0.0181, 0.7628, 0.2853)  1 P 1.51
O (0.0891, 0.7644, 0.5215)  1 P 1.54
Sb (0.6549, 0.3451, 0.2500)  4 O 2.13-2.29
O (0.1659, 0.6726, 0.0926)  1 P 1.52
O (0.7644, 0.0891, 0.4785)  1 P 1.54
O (0.1640, 0.4783, 0.3118)  1 P 1.49
O (0.1839, 0.0960, 0.7162)  2 P 1.62-1.64
P (0.8449, 0.7582, 0.2861)  4 O 1.49-1.62
O (0.7392, 0.6174, 0.2520)  1 P 1.49
Li (0.3399, 0.3399, 0.0000)  2 O 2.03
P (0.9646, 0.6550, 0.8135)  4 O 1.49-1.64
P (0.7336, 0.1936, 0.0162)  4 O 1.52-1.66
O (0.9819, 0.2372, 0.7853)  1 P 1.51
O (0.6473, 0.3032, 0.0767)  1 P 1.53
O (0.6174, 0.7392, 0.7480)  1 P 1.49
O (0.3032, 0.6473, 0.9233)  1 P 1.53
O (0.2608, 0.3826, 0.7520)  1 P 1.49
O (0.5217, 0.8360, 0.1882)  1 P 1.49
O (0.8981, 0.3511, 0.2433)  1 P 1.52
P (0.1551, 0.2418, 0.7861)  4 O 1.49-1.62
O (0.7966, 0.8004, 0.5988)  1 P 1.60
O (0.3511, 0.8981, 0.7567)  1 P 1.52
O (0.6726, 0.1659, 0.9074)  1 P 1.52
Sb (0.7478, 0.2522, 0.7500)  4 O 2.13-2.25
O (0.9109, 0.2356, 0.0215)  1 P 1.54
O (0.8161, 0.9040, 0.2162)  2 P 1.62-1.64
P (0.2664, 0.8064, 0.5162)  4 O 1.52-1.66
O (0.0960, 0.1839, 0.2838)  2 P 1.62-1.64
Sb (0.9403, 0.9403, 0.5000)  4 O 2.06-2.19
O (0.3527, 0.6968, 0.5767)  1 P 1.53
O (0.8360, 0.5217, 0.8118)  1 P 1.49
O (0.2034, 0.1996, 0.0988)  1 P 1.60
P (0.3450, 0.0354, 0.6865)  4 O 1.49-1.64
O (0.3826, 0.2608, 0.2480)  1 P 1.49
O (0.3070, 0.9784, 0.5712)  2 P 1.60-1.66
P (0.8064, 0.2664, 0.4838)  4 O 1.52-1.66
P (0.6550, 0.9646, 0.1865)  4 O 1.49-1.64
O (0.6489, 0.1019, 0.2567)  1 P 1.52
Sb (0.3451, 0.6549, 0.7500)  4 O 2.13-2.29
O (0.0216, 0.6930, 0.9288)  2 P 1.60-1.66
O (0.8004, 0.7966, 0.4012)  1 P 1.60
P (0.1936, 0.7336, 0.9838)  4 O 1.52-1.66
P (0.0354, 0.3450, 0.3135)  4 O 1.49-1.64
O (0.6930, 0.0216, 0.0712)  2 P 1.60-1.66
O (0.4783, 0.1640, 0.6882)  1 P 1.49
O (0.8341, 0.3274, 0.5926)  1 P 1.52
O (0.2372, 0.9819, 0.2147)  1 P 1.51
P (0.2418, 0.1551, 0.2139)  4 O 1.49-1.62
O (0.1019, 0.6489, 0.7433)  1 P 1.52
O (0.1996, 0.2034, 0.9012)  1 P 1.60
O (0.9784, 0.3070, 0.4288)  2 P 1.60-1.66
O (0.2356, 0.9109, 0.9785)  1 P 1.54
O (0.6968, 0.3527, 0.4233)  1 P 1.53
O (0.3274, 0.8341, 0.4074)  1 P 1.52

- Formation energy without anion corrections: -1931 meV/atom
- Symmetry: No. 20